Here is VAs2SeO after structural relaxation from Alexandria via LeMat-Bulk. Energies are from PBE+U.

Space-group type: No. 123
Distance to the lowest polymorph of the same formula, kJ/mol of formula units: 169.4
Uncorrected energy, eV per atom: -4.167
Size of the total moment, μB/f.u.: 0.0

a = 4.6984 Å, b = 4.6984 Å, c = 4.5979 Å
α = 90.00°, β = 90.00°, γ = 90.00°
With the nearest neighbours (Å) after each atom.
Fractional coordinates of all 5 atoms:
As 0.0000 0.5000 0.0000  2 V 2.35
As 0.5000 0.0000 0.0000  2 V 2.35
O 0.5000 0.5000 0.5000  8 As 3.29, 4 Se 3.32
Se 0.0000 0.0000 0.5000  2 V 2.30
V 0.0000 0.0000 0.0000  2 Se 2.30, 4 As 2.35